Computed, not measured: a relaxed CuAgO2 crystal at the GGA-PBE level of DFT.

Summary:
Total energy   -0.169 hartree per atom
SG   Pmmm
Spin magnetization   0.00 μB/cell
Energy relative to the elements, uncorrected   -0.37 eV per atom
ρ   6.35 g/cm³
Crystal system   orthorhombic

Structure (POSCAR):
```
CuAgO2
1.0
-1.081 0.215 2.662
-0.938 -3.274 -0.116
4.794 -1.447 2.064
O Ag Cu
2 1 1
Direct
0.000 0.500 0.730
0.000 0.500 0.270
0.000 0.000 0.000
0.500 0.500 0.500
```